[1]
# Na3Tl2Ag2

An optimized crystal structure of Na3Tl2Ag2 (PBE, the Alexandria database).

The structure in POSCAR format:
```
Na3Tl2Ag2
1.0
-0.460 1.266 -4.917
-3.770 -2.518 2.333
-1.576 6.587 4.446
Na Tl Ag
3 2 2
direct
0.000 0.000 0.000
0.717 0.858 0.575
0.283 0.142 0.425
0.173 0.586 0.759
0.827 0.414 0.241
0.445 0.723 0.168
0.555 0.277 0.832
```

The space group is C2/m. As for the electronic total energy: -2.124 eV per atom. The value obtained for the formation energy is -67 meV per atom.

[2]
# Na5Tl4Ag2

An optimized crystal structure of Na5Tl4Ag2 (PBE, the Alexandria database).

The structure in POSCAR format:
```
Na5Tl4Ag2
1.0
-0.419 -4.674 -2.432
5.107 -3.856 6.530
-7.463 3.023 1.221
Na Tl Ag
5 4 2
direct
0.266 0.595 0.531
0.734 0.405 0.469
0.266 0.936 0.531
0.500 0.000 0.000
0.734 0.064 0.469
0.623 0.623 0.246
0.000 0.277 0.000
0.377 0.377 0.754
0.000 0.723 0.000
0.863 0.863 0.726
0.137 0.137 0.274
```

The space group is Immm. The polymorph energy (0 for the lowest one) comes out at 31 meV per atom. As for the electronic total energy: -2.002 eV per atom. The value obtained for the formation energy is -24 meV per atom.

[3]
# NaTl2Ag2

An optimized crystal structure of NaTl2Ag2 (PBE, the Alexandria database).

The structure in POSCAR format:
```
NaTl2Ag2
1.0
8.445 0.000 0.000
0.000 8.445 0.000
0.000 0.000 3.448
Na Tl Ag
2 4 4
direct
0.000 0.000 0.000
0.500 0.500 0.000
0.171 0.671 0.500
0.671 0.829 0.500
0.829 0.329 0.500
0.329 0.171 0.500
0.375 0.875 0.000
0.875 0.625 0.000
0.625 0.125 0.000
0.125 0.375 0.000
```

The space group is P4/mbm. The polymorph energy (0 for the lowest one) comes out at 5 meV per atom. As for the electronic total energy: -2.322 eV per atom. The value obtained for the formation energy is 29 meV per atom.

[4]
# Na2TlAg

An optimized crystal structure of Na2TlAg (PBE, the Alexandria database).

The structure in POSCAR format:
```
Na2TlAg
1.0
-7.506 -3.932 0.992
0.816 -3.508 -7.733
-1.951 -6.075 -2.155
Na Tl Ag
4 2 2
direct
0.598 0.125 0.250
0.152 0.625 0.250
0.375 0.402 0.750
0.875 0.848 0.750
0.000 0.000 0.000
0.750 0.250 0.500
0.500 0.500 0.000
0.250 0.750 0.500
```

The space group is I-42d. As for the electronic total energy: -1.906 eV per atom. The value obtained for the formation energy is 58 meV per atom.